Entry from Alexandria via LeMat-Bulk: a relaxed Pm3DyGa2 crystal (GGA-PBE).

It has space group C2/m (No. 12), with a = 17.4485 Å, b = 4.5560 Å, c = 9.2476 Å, α = 90.00°, β = 113.70° and γ = 90.00°. The inequivalent atoms are Pm at (0.0436, 0.0000, 0.1888), Pm at (0.1509, 0.5000, 0.9778), Pm at (0.1794, 0.5000, 0.4298), Dy at (0.1170, 0.0000, 0.6404), Ga at (0.0052, 0.5000, 0.6425) and Ga at (0.2326, 0.0000, 0.2147).

The value obtained for the total DFT energy (no corrections) is -4.490 eV per atom. The value obtained for the formation energy is -2.0 eV per formula unit.

---

Entry from Alexandria via LeMat-Bulk: a relaxed RbAg2AuBr8 crystal (GGA-PBE).

It has space group P-1 (No. 2), with a = 6.9761 Å, b = 7.7285 Å, c = 10.0284 Å, α = 79.85°, β = 75.53° and γ = 84.31°. The inequivalent atoms are Rb at (0.0000, 0.0000, 0.0000), Ag at (0.0046, 0.2554, 0.4812), Au at (0.0000, 0.5000, 0.0000), Br at (0.1660, 0.2874, 0.1577), Br at (0.2549, 0.9805, 0.5017), Br at (0.2558, 0.4769, 0.5041) and Br at (0.3114, 0.6551, 0.9103).

The value obtained for the total DFT energy (no corrections) is -2.372 eV per atom.

---

Number 1 is which compound? Pm3DyGa2